[1]
# Co2CuPt

A relaxed Co2CuPt crystal (PBE, Alexandria).

a = 8.617 Å, b = 8.617 Å, c = 8.617 Å
α = 17.58°, β = 17.58°, γ = 17.58°
Site moments in Bohr magnetons follow the coordinates.
Positions (direct):
1 Co 0.997 0.997 0.997  1.73
2 Co 0.503 0.503 0.503  1.73
3 Cu 0.250 0.250 0.250  0.02
4 Pt 0.750 0.750 0.750  0.24

=====

[2]
# Co2CuPt2

A relaxed Co2CuPt2 crystal (PBE, Alexandria).

a = 7.255 Å, b = 7.255 Å, c = 2.694 Å
α = 90.00°, β = 90.00°, γ = 90.00°
Site moments in Bohr magnetons follow the coordinates.
Positions (direct):
1 Pt 0.822 0.322 0.500  0.39
2 Pt 0.678 0.822 0.500  0.40
3 Pt 0.322 0.178 0.500  0.40
4 Pt 0.178 0.678 0.500  0.39
5 Co 0.617 0.117 0.000  1.79
6 Co 0.383 0.883 0.000  1.79
7 Co 0.883 0.617 0.000  1.87
8 Co 0.117 0.383 0.000  1.87
9 Cu 0.500 0.500 0.000  0.01
10 Cu 0.000 0.000 0.000  0.01

- distance to the lowest polymorph of the same formula (kJ/mol of atoms) = 0.00

=====

[3]
# Co2CuPt

A relaxed Co2CuPt crystal (PBE, Alexandria).

a = 3.796 Å, b = 3.647 Å, c = 3.647 Å
α = 90.00°, β = 90.00°, γ = 90.00°
Site moments in Bohr magnetons follow the coordinates.
Positions (direct):
1 Cu 0.500 0.500 0.000  0.16
2 Pt 0.500 0.000 0.500  0.31
3 Co 0.000 0.000 0.000  1.88
4 Co 0.000 0.500 0.500  1.88

=====

| no. | E (eV/cell) | ΔH_f (0 K) (meV per atom) | theoretical density (g cm⁻³) |
| --- | --- | --- | --- |
| 1 | -24.0 | 78.0 | 12.27 |
| 2 | -59.6 | 114.8 | 13.39 |
| 3 | -24.3 | 22.6 | 12.39 |